(1)
# YErAsO (PBE, relaxed)
# magnetic moment	0.0021	μB/atom
# VASP energy	-56.359	eV/cell
# ρ	7.0	g cm⁻³
# volume	20.47	A^3/atom
data_YErAsO
_chemical_formula_sum 'Y2 Er2 As2 O2'
_symmetry_space_group_name_H-M 'P 1'
_symmetry_Int_Tables_number 1
_symmetry_space_group_name_Hall 'P 1'
_cell_length_a 4.330
_cell_length_b 4.330
_cell_length_c 8.732
_cell_angle_alpha 90.00
_cell_angle_beta 90.00
_cell_angle_gamma 90.00
loop_
_atom_site_label
_atom_site_fract_x
_atom_site_fract_y
_atom_site_fract_z
As1 0.000 0.500 0.297
As2 0.500 0.000 0.703
Er1 0.000 0.000 0.500
Er2 0.500 0.500 0.500
O1 0.000 0.000 0.000
O2 0.500 0.500 0.000
Y1 0.500 0.000 0.101
Y2 0.000 0.500 0.899

---

(2)
# YErAsO (PBE, relaxed)
# magnetic moment	0.0033	μB/atom
# VASP energy	-56.943	eV/cell
# ρ	6.3	g cm⁻³
# volume	22.84	A^3/atom
data_YErAsO
_chemical_formula_sum 'Y2 Er2 As2 O2'
_symmetry_space_group_name_H-M 'P 1'
_symmetry_Int_Tables_number 1
_symmetry_space_group_name_Hall 'P 1'
_cell_length_a 4.115
_cell_length_b 7.655
_cell_length_c 5.800
_cell_angle_alpha 90.00
_cell_angle_beta 90.00
_cell_angle_gamma 90.00
loop_
_atom_site_label
_atom_site_fract_x
_atom_site_fract_y
_atom_site_fract_z
As1 0.000 0.348 0.429
As2 0.000 0.652 0.929
Er1 0.000 0.713 0.438
Er2 0.000 0.287 0.938
O1 0.500 0.827 0.385
O2 0.500 0.173 0.885
Y1 0.500 0.883 0.002
Y2 0.500 0.117 0.502